Below is an optimized crystal structure of BaSeBr, with properties calculated at the PBE-GGA level.

a = 5.4318 Å, b = 5.4318 Å, c = 5.4318 Å
α = 60.00°, β = 60.00°, γ = 60.00°
Closest atoms and distances in Å follow each position.
Fractional coordinates of all 3 atoms:
1 Br 0.5000 0.5000 0.5000  4 Se 3.33
2 Ba 0.0000 0.0000 0.0000  4 Se 3.33
3 Se 0.7500 0.7500 0.7500  4 Br 3.33, 4 Ba 3.33

Calculated values
Raw formation energy ... -115 kJ/mol of atoms
Density of states at the Fermi level ... 3.19 states/eV per cell
Polymorph energy (0 for the lowest one) ... 555.3 meV/atom

=====

Below is an optimized crystal structure of SmErInPt, with properties calculated at the PBE-GGA level.

a = 5.1623 Å, b = 5.1623 Å, c = 5.1623 Å
α = 60.00°, β = 60.00°, γ = 60.00°
Closest atoms and distances in Å follow each position.
Fractional coordinates of all 4 atoms:
1 Sm 0.0000 0.0000 0.0000  4 Pt 3.16, 4 In 3.16
2 In 0.2500 0.2500 0.2500  4 Er 3.16, 4 Sm 3.16
3 Er 0.5000 0.5000 0.5000  4 In 3.16, 4 Pt 3.16
4 Pt 0.7500 0.7500 0.7500  4 Er 3.16, 4 Sm 3.16

Calculated values
Density of states at the Fermi level ... 3.10 states/eV per cell
Formation energy ... -278 kJ/mol of formula units

=====

Below is an optimized crystal structure of Pa2Al3Ni4, with properties calculated at the PBE-GGA level.

a = 5.5486 Å, b = 6.6450 Å, c = 8.1832 Å
α = 90.00°, β = 109.82°, γ = 90.00°
Closest atoms and distances in Å follow each position.
Fractional coordinates of all 18 atoms:
1 Pa 0.3980 0.0894 0.7960  5 Ni 2.68-2.97
2 Pa 0.8980 0.4106 0.7960  5 Ni 2.68-2.97
3 Pa 0.1020 0.5894 0.2040  5 Ni 2.68-2.97
4 Pa 0.6020 0.9106 0.2040  5 Ni 2.68-2.97
5 Ni 0.8233 0.2500 0.1465  3 Al 2.44-2.47, 2 Pa 2.68, 2 Ni 2.69
6 Ni 0.1645 0.9742 0.3290  5 Al 2.54-2.57, 2 Ni 2.69, 1 Pa 2.73
7 Ni 0.3355 0.4742 0.6710  5 Al 2.54-2.57, 2 Ni 2.69, 1 Pa 2.73
8 Ni 0.3233 0.2500 0.1465  3 Al 2.44-2.47, 2 Pa 2.68, 2 Ni 2.69
9 Ni 0.6645 0.5258 0.3290  5 Al 2.54-2.57, 2 Ni 2.69, 1 Pa 2.73
10 Ni 0.6767 0.7500 0.8535  3 Al 2.44-2.47, 2 Pa 2.68, 2 Ni 2.69
11 Ni 0.8355 0.0258 0.6710  5 Al 2.54-2.57, 2 Ni 2.69, 1 Pa 2.73
12 Ni 0.1767 0.7500 0.8535  3 Al 2.44-2.47, 2 Pa 2.68, 2 Ni 2.69
13 Al 0.5000 0.5000 0.0000  6 Ni 2.44-2.54
14 Al 0.0160 0.7500 0.5320  5 Ni 2.47-2.57
15 Al 0.4840 0.2500 0.4680  5 Ni 2.47-2.57
16 Al 0.5160 0.7500 0.5320  5 Ni 2.47-2.57
17 Al 0.9840 0.2500 0.4680  5 Ni 2.47-2.57
18 Al 0.0000 0.0000 0.0000  6 Ni 2.44-2.54

Calculated values
Density of states at the Fermi level ... 12.96 states/eV per cell
Formation energy ... -437 kJ/mol of formula units